No. 1
{
  "formula": "MoW2C",
  "functional": "GGA-PBE",
  "state": "optimized geometry",
  "lattice_angstrom": [[3.077, 0.000, 0.000], [0.000, 3.077, 0.000], [0.000, 0.000, 6.255]],
  "species": ["C", "Mo", "W", "W"],
  "frac_coords": [[0.000, 0.000, 0.646], [0.500, 0.500, 0.646], [0.000, 0.000, 0.986], [0.500, 0.500, 0.223]],
  "formation_enthalpy_0k_ev_per_atom": 0.647,
  "mass_density_g_cm3": 13.3,
  "n_ef_per_ev_fu": 2.04,
  "sg": "P4mm, No. 99"
}


No. 2
{
  "formula": "Mo2WC",
  "functional": "GGA-PBE",
  "state": "optimized geometry",
  "lattice_angstrom": [[2.718, 0.000, 0.000], [0.000, 2.718, 0.000], [0.000, 0.000, 7.257]],
  "species": ["C", "Mo", "W", "Mo"],
  "frac_coords": [[0.500, 0.500, 0.746], [0.500, 0.500, 0.252], [0.000, 0.000, 0.571], [0.000, 0.000, 0.931]],
  "formation_enthalpy_0k_ev_per_atom": 0.471,
  "mass_density_g_cm3": 12.0,
  "n_ef_per_ev_fu": 1.81,
  "sg": "P4mm, No. 99"
}


No. 3
{
  "formula": "MoWC2",
  "functional": "GGA-PBE",
  "state": "optimized geometry",
  "lattice_angstrom": [[-1.197, -1.281, -3.510], [0.643, -2.710, 0.770], [-3.218, -1.622, 1.690]],
  "species": ["C", "Mo", "C", "W"],
  "frac_coords": [[0.000, 0.118, 0.944], [0.000, 0.453, 0.380], [0.500, 0.128, 0.306], [0.500, 0.801, 0.869]],
  "formation_enthalpy_0k_ev_per_atom": 0.444,
  "mass_density_g_cm3": 11.8,
  "n_ef_per_ev_fu": 1.24,
  "sg": "Pm, No. 6",
  "e_above_lowest_polymorph_mev_per_atom": 554.4
}